No. 1
# CdAg5

A relaxed structure of CdAg5 (PBE-GGA, Alexandria via LeMat-Bulk). Values from VASP.

Output
The calculation puts the density of states at the Fermi level at 2.0 states/eV/cell. The crystal system is cubic. As for the formation energy: 0.1159 eV/atom.

Cell and atoms, written as Quantum ESPRESSO input:
```
&SYSTEM
  ibrav = 0, nat = 6, ntyp = 2
/
ATOMIC_SPECIES
Cd 112.41 Cd.upf
Ag 107.87 Ag.upf
ATOMIC_POSITIONS angstrom
Cd 0.0000 0.0000 0.0000
Ag 5.8437 5.8437 5.8437
Ag 2.9223 2.9223 2.9223
Ag 2.9223 4.8693 4.8693
Ag 4.8693 2.9223 4.8693
Ag 4.8693 4.8693 2.9223
CELL_PARAMETERS angstrom
0.0000 3.8958 3.8958
3.8958 0.0000 3.8958
3.8958 3.8958 0.0000
```

No. 2
# CdAg2

A relaxed structure of CdAg2 (PBE-GGA, Alexandria via LeMat-Bulk). Values from VASP.

Output
The calculation puts the density of states at the Fermi level at 3.6 states/eV/cell. The crystal system is orthorhombic. As for the formation energy: -0.0408 eV/atom.

Cell and atoms, written as Quantum ESPRESSO input:
```
&SYSTEM
  ibrav = 0, nat = 12, ntyp = 2
/
ATOMIC_SPECIES
Ag 107.87 Ag.upf
Cd 112.41 Cd.upf
ATOMIC_POSITIONS angstrom
Ag 0.6891 1.0586 2.2527
Ag 5.1982 3.1757 6.8112
Ag 3.6327 1.0586 2.2792
Ag 0.7608 1.0586 5.2772
Ag 2.1829 3.1757 0.7452
Ag 5.1265 3.1757 3.7867
Ag 3.7044 1.0586 8.3187
Ag 2.2546 3.1757 6.7847
Cd 3.7380 1.0586 5.3289
Cd 5.0929 3.1757 0.7969
Cd 0.7943 1.0586 8.2670
Cd 2.1493 3.1757 3.7351
CELL_PARAMETERS angstrom
5.8873 0.0000 0.0000
0.0000 4.2342 0.0000
0.0000 0.0000 9.0639
```

No. 3
# Cd6Ag7

A relaxed structure of Cd6Ag7 (PBE-GGA, Alexandria via LeMat-Bulk). Values from VASP.

Output
The calculation puts the density of states at the Fermi level at 5.5 states/eV/cell. The crystal system is trigonal. As for the formation energy: -0.0064 eV/atom.

Cell and atoms, written as Quantum ESPRESSO input:
```
&SYSTEM
  ibrav = 0, nat = 13, ntyp = 2
/
ATOMIC_SPECIES
Cd 112.41 Cd.upf
Ag 107.87 Ag.upf
ATOMIC_POSITIONS angstrom
Cd -18.4407 -3.6307 -14.3932
Cd -7.2928 -1.4359 -5.6921
Cd -20.7422 -4.0838 -16.1896
Cd -14.5698 -2.8686 -11.3719
Cd -1.1204 -0.2206 -0.8745
Cd -3.4219 -0.6737 -2.6708
Ag -12.3768 -1.0478 -10.6589
Ag -10.9313 -2.1522 -8.5320
Ag -8.1613 -1.7561 -8.4807
Ag -13.7014 -2.5484 -8.5833
Ag -9.8893 -0.4088 -6.6066
Ag -9.4858 -3.2567 -6.4052
Ag -11.9733 -3.8957 -10.4575
CELL_PARAMETERS angstrom
-6.6795 1.4362 -7.1913
-5.8802 -4.2046 -6.7924
-9.3030 -1.5360 -3.0803
```

No. 4
# Cd2Ag

A relaxed structure of Cd2Ag (PBE-GGA, Alexandria via LeMat-Bulk). Values from VASP.

Output
The calculation puts the density of states at the Fermi level at 1.1 states/eV/cell. The crystal system is monoclinic. As for the formation energy: -0.0444 eV/atom.

Cell and atoms, written as Quantum ESPRESSO input:
```
&SYSTEM
  ibrav = 0, nat = 6, ntyp = 2
/
ATOMIC_SPECIES
Ag 107.87 Ag.upf
Cd 112.41 Cd.upf
ATOMIC_POSITIONS angstrom
Ag -1.3787 -4.4674 2.4958
Ag -7.8319 5.4528 -5.7082
Cd -5.9019 3.7273 -4.0553
Cd -2.8110 -1.2441 0.0160
Cd 0.4287 -6.2228 4.1337
Cd -4.6031 0.5209 -1.6237
CELL_PARAMETERS angstrom
-4.2761 3.5515 -1.5897
-3.5656 1.9135 -4.1291
1.8652 -9.4384 6.6097
```

No. 5
# Cd2Ag7

A relaxed structure of Cd2Ag7 (PBE-GGA, Alexandria via LeMat-Bulk). Values from VASP.

Output
The calculation puts the density of states at the Fermi level at 2.7 states/eV/cell. The crystal system is hexagonal. As for the formation energy: 0.0169 eV/atom.

Cell and atoms, written as Quantum ESPRESSO input:
```
&SYSTEM
  ibrav = 0, nat = 9, ntyp = 2
/
ATOMIC_SPECIES
Ag 107.87 Ag.upf
Cd 112.41 Cd.upf
ATOMIC_POSITIONS angstrom
Ag 0.0000 2.8436 4.9253
Ag 1.4465 0.0000 0.0000
Ag 0.0000 2.4942 0.0000
Ag 1.4465 1.4535 2.5176
Ag 1.4465 -2.6372 4.5677
Ag 0.0000 -1.2471 2.1600
Ag 1.4465 5.2744 0.0000
Cd 0.0000 0.0000 4.7236
Cd 0.0000 4.0907 2.3618
CELL_PARAMETERS angstrom
2.8929 0.0000 0.0000
0.0000 8.1815 0.0000
0.0000 -4.0907 7.0854
```

No. 6
# Cd2Ag3

A relaxed structure of Cd2Ag3 (PBE-GGA, Alexandria via LeMat-Bulk). Values from VASP.

Output
The calculation puts the density of states at the Fermi level at 1.1 states/eV/cell. The crystal system is orthorhombic. As for the formation energy: -0.0464 eV/atom.

Cell and atoms, written as Quantum ESPRESSO input:
```
&SYSTEM
  ibrav = 0, nat = 10, ntyp = 2
/
ATOMIC_SPECIES
Ag 107.87 Ag.upf
Cd 112.41 Cd.upf
ATOMIC_POSITIONS angstrom
Ag 2.0691 0.8486 7.9547
Ag -1.0398 1.9269 5.7590
Ag 1.6539 -1.8475 4.8952
Ag 3.9566 -0.5294 6.2087
Ag -0.3616 -0.2136 3.5618
Ag -0.0690 -0.1228 0.2441
Cd 1.5843 -1.7523 1.9760
Cd 1.7935 1.1027 5.0573
Cd 0.7002 3.4149 7.4976
Cd -0.1812 -0.6373 6.7963
CELL_PARAMETERS angstrom
-4.5754 1.8147 2.7925
3.2309 -4.2091 1.9673
3.3060 3.4818 5.8573
```